Compound: Pr5AsSe4
Source: Alexandria via LeMat-Bulk
Functional: PBE
Structure: relaxed

```
Pr5AsSe4
1.0
-1.2548 -2.1916 3.4477
0.1726 -3.6319 -2.2459
14.9907 1.0704 3.4876
Pr Se As
5 4 1
Cartesian
-0.5411 -2.9118 0.6009
11.0830 -4.3931 3.8899
5.2867 -3.6544 2.2499
8.6218 -1.0987 2.4395
2.8256 -0.3601 0.7995
5.7438 -0.7320 1.6252
8.1647 -4.0212 3.0642
2.3718 -3.2830 1.4251
11.5367 -1.4702 3.2643
0.0000 0.0000 0.0000
```

Output
Final energy ... -60.473 eV for the cell shown
Space-group type ... I4/mmm (139)
Crystal system ... tetragonal